Here is Co12Ni3Os5 after structural relaxation from the Alexandria database. Energies are from PBE-GGA.

```
data_Co12Ni3Os5
_chemical_formula_sum 'Co96 Ni24 Os40'
_symmetry_space_group_name_H-M 'I a -3 d'
_symmetry_Int_Tables_number 230
_symmetry_space_group_name_Hall '-I 4bd 2c 3'
_cell_length_a 13.280
_cell_length_b 13.280
_cell_length_c 13.280
_cell_angle_alpha 90.00
_cell_angle_beta 90.00
_cell_angle_gamma 90.00
loop_
_atom_site_label
_atom_site_fract_x
_atom_site_fract_y
_atom_site_fract_z
_atom_site_occupancy
Co1 0.014 0.081 0.653 1
Ni1 0.000 0.250 0.125 1
Os1 0.000 0.000 0.000 1
Os2 0.000 0.250 0.375 1
```

Summary:
The total magnetization is 0.000 μB per atom. The calculation puts the formation energy at 1037.6 meV per atom.